Here is a relaxed Mn2SbPbO4 crystal from Alexandria. Energies are from PBE with a Hubbard U.

The calculation puts the total magnetic moment at 1.226 μB/atom. Its density of states at the Fermi level is 4.018 states/eV per cell. The uncorrected energy comes out at -205.51 eV/cell.

It has space group C2/c (No. 15), with a = 9.3040 Å, b = 9.2363 Å, c = 6.8139 Å, α = 90.00°, β = 126.01° and γ = 90.00°. The distinct sites, in fractional coordinates, are Mn at (0.0000, 0.0000, 0.0000), Mn at (0.2500, 0.2500, 0.0000), Sb at (0.0000, 0.5000, 0.0000), Pb at (0.2500, 0.2500, 0.5000), O at (0.0306, 0.2486, 0.0152) and O at (0.2029, 0.0225, 0.8734).